# HfZrZn2Hg

Crystalline HfZrZn2Hg at its relaxed geometry (PBE, the Alexandria database).

Output
ΔE_f = 1031.8 meV per atom
magnetization = 0.0 μB per cell
mass density = 7.1 Mg/m³
VASP energy = -3.238 eV/atom

Unit cell a=5.2339 b=5.2339 c=5.1492 alpha=90.00 beta=90.00 gamma=90.00
Closest atoms and distances in Å follow each position.
Space group P4/mmm (No. 123)
Inequivalent atoms, fractional coordinates:
Hf 0.0000 0.0000 0.0000  2 Zr 2.57
Zr 0.0000 0.0000 0.5000  2 Hf 2.57, 4 Zn 2.62
Zn 0.0000 0.5000 0.5000  2 Zr 2.62
Hg 0.5000 0.5000 0.0000  8 Zn 3.67, 4 Hf 3.70



# NpGe2Pd7

Crystalline NpGe2Pd7 at its relaxed geometry (PBE, the Alexandria database).

Output
ΔE_f = -441.7 meV per atom
polymorph energy (0 for the lowest one) = 0.00 eV/f.u.
magnetization = 7.0 μB per cell
mass density = 10.8 Mg/m³
VASP energy = -6.294 eV/atom

Unit cell a=4.1055 b=4.1055 c=20.5328 alpha=90.00 beta=90.00 gamma=90.00
Closest atoms and distances in Å follow each position.
Space group I4/mmm (No. 139)
Inequivalent atoms, fractional coordinates:
Np 0.0000 0.0000 0.0000  12 Pd 2.90-2.96
Ge 0.0000 0.0000 0.3242  8 Pd 2.53-2.56
Pd 0.0000 0.0000 0.5000  4 Np 2.90, 8 Pd 2.96
Pd 0.0000 0.5000 0.1041  2 Ge 2.53
Pd 0.0000 0.5000 0.2500  4 Ge 2.56



# Te2NCl

Crystalline Te2NCl at its relaxed geometry (PBE, the Alexandria database).

Output
polymorph energy (0 for the lowest one) = 0.39 eV/f.u.
magnetization = 0.0 μB per cell
mass density = 4.9 Mg/m³
raw formation energy = 580 meV/atom
VASP energy = -3.534 eV/atom

Unit cell a=5.4367 b=5.4367 c=14.0910 alpha=90.00 beta=90.00 gamma=90.00
Closest atoms and distances in Å follow each position.
Space group I-42d (No. 122)
Inequivalent atoms, fractional coordinates:
Te 0.1095 0.2500 0.1250  2 N 2.30
N 0.0000 0.0000 0.0000  4 Te 2.30
Cl 0.0000 0.0000 0.5000  4 Te 3.08



# DyEr3S4

Crystalline DyEr3S4 at its relaxed geometry (PBE, the Alexandria database).

Output
polymorph energy (0 for the lowest one) = 0.08 eV/f.u.
magnetization = 0.0 μB per cell
mass density = 8.0 Mg/m³
raw formation energy = -1951 meV/atom
VASP energy = -6.301 eV/atom

Unit cell a=5.4797 b=5.4797 c=5.4797 alpha=90.00 beta=90.00 gamma=90.00
Closest atoms and distances in Å follow each position.
Space group Pm-3m (No. 221)
Inequivalent atoms, fractional coordinates:
Dy 0.0000 0.0000 0.0000  6 S 2.74
Er 0.0000 0.5000 0.5000  6 S 2.74
S 0.0000 0.0000 0.5000  2 Dy 2.74, 4 Er 2.74
S 0.5000 0.5000 0.5000  6 Er 2.74



# BiPRuO2

Crystalline BiPRuO2 at its relaxed geometry (PBE, the Alexandria database).

Output
polymorph energy (0 for the lowest one) = 4.31 eV/f.u.
magnetization = 3.1 μB per cell
mass density = 6.5 Mg/m³
raw formation energy = 610 meV/atom
VASP energy = -5.086 eV/atom

Unit cell a=4.0789 b=4.0789 c=5.6848 alpha=90.00 beta=90.00 gamma=90.00
Closest atoms and distances in Å follow each position.
Space group P4/mmm (No. 123)
Inequivalent atoms, fractional coordinates:
Bi 0.0000 0.0000 0.0000  4 O 2.04
P 0.0000 0.0000 0.5000  2 Bi 2.84, 4 Ru 2.88
Ru 0.5000 0.5000 0.5000  4 P 2.88
O 0.0000 0.5000 0.0000  2 Bi 2.04



# InH3N

Crystalline InH3N at its relaxed geometry (PBE, the Alexandria database).

Output
polymorph energy (0 for the lowest one) = 0.00 eV/f.u.
magnetization = 0.0 μB per cell
mass density = 5.3 Mg/m³
VASP energy = -3.109 eV/atom

Unit cell a=3.4590 b=3.4590 c=3.4590 alpha=90.00 beta=90.00 gamma=90.00
Closest atoms and distances in Å follow each position.
Space group Pm-3m (No. 221)
Inequivalent atoms, fractional coordinates:
In 0.0000 0.0000 0.0000  12 H 2.45
H 0.0000 0.5000 0.5000  2 N 1.73
N 0.5000 0.5000 0.5000  6 H 1.73



# LaEr2Pd

Crystalline LaEr2Pd at its relaxed geometry (PBE, the Alexandria database).

Output
ΔE_f = -437.3 meV per atom
polymorph energy (0 for the lowest one) = 0.10 eV/f.u.
magnetization = 0.0 μB per cell
mass density = 8.7 Mg/m³
VASP energy = -5.249 eV/atom

Unit cell a=3.5529 b=3.5529 c=8.7261 alpha=90.00 beta=90.00 gamma=90.00
Closest atoms and distances in Å follow each position.
Space group P4/mmm (No. 123)
Inequivalent atoms, fractional coordinates:
La 0.0000 0.0000 0.0000  4 La 3.55, 8 Er 3.70
Er 0.5000 0.5000 0.3113  4 Pd 3.00, 1 Er 3.29
Pd 0.0000 0.0000 0.5000  8 Er 3.00



# BePt5

Crystalline BePt5 at its relaxed geometry (PBE, the Alexandria database).

Output
ΔE_f = -108.9 meV per atom
polymorph energy (0 for the lowest one) = 1.16 eV/f.u.
magnetization = 0.0 μB per cell
mass density = 18.3 Mg/m³
VASP energy = -5.764 eV/atom

Unit cell a=4.7869 b=4.7869 c=4.4980 alpha=90.00 beta=90.00 gamma=120.00
Closest atoms and distances in Å follow each position.
Space group P-62m (No. 189)
Inequivalent atoms, fractional coordinates:
Be 0.0000 0.0000 0.0000  12 Pt 2.74-2.76
Pt 0.0000 0.6712 0.5000  10 Pt 2.73-2.78, 2 Be 2.74
Pt 0.3333 0.6667 0.0000  3 Be 2.76, 9 Pt 2.76